! TbNd3Se6 | the Alexandria database | GGA-PBE | relaxed; values from VASP
! Total magnetization (μB per cell): 0.0
! Uncorrected formation energy (eV/atom): -1.863
&SYSTEM
  ibrav = 0, nat = 20, ntyp = 3
/
ATOMIC_SPECIES
Tb 158.93 Tb.upf
Se 78.96 Se.upf
Nd 144.24 Nd.upf
CELL_PARAMETERS angstrom
8.6127 0.0052 0.0053
-0.1817 8.6108 0.0053
-0.1817 -0.1857 8.6088
ATOMIC_POSITIONS crystal
Tb 0.5000 0.5000 0.5000
Tb 0.0000 0.0000 0.0000
Se 0.4105 0.1847 0.5390
Se 0.4610 0.5895 0.8153
Se 0.0874 0.9185 0.6885
Se 0.5895 0.8153 0.4610
Se 0.5390 0.4105 0.1847
Se 0.6885 0.0874 0.9185
Se 0.9185 0.6885 0.0874
Se 0.8153 0.4610 0.5895
Se 0.3115 0.9126 0.0815
Se 0.1847 0.5390 0.4105
Se 0.0815 0.3115 0.9126
Se 0.9126 0.0815 0.3115
Nd 0.2470 0.5698 0.0785
Nd 0.0785 0.2470 0.5698
Nd 0.5698 0.0785 0.2470
Nd 0.4302 0.9215 0.7530
Nd 0.9215 0.7530 0.4302
Nd 0.7530 0.4302 0.9215